# Sr2HfGaSn

A geometry-optimized Sr2HfGaSn structure (PBE, Alexandria via LeMat-Bulk).

abc: 6.189 6.189 5.509
angles: 90.00 90.00 90.00
Fractional positions:
Sr  0.000  0.500  0.000
Sr  0.500  0.000  0.000
Hf  0.000  0.000  0.000
Ga  0.500  0.500  0.500
Sn  0.000  0.000  0.500

Computed properties:
- Uncorrected energy: -17.1 eV/cell
- Calculated formation energy: 646 meV per atom
- Density of states at the Fermi level: 5.3 states/eV/f.u.
- V: 211.0 Å³ per cell